Computed, not measured: a relaxed structure of Ac6Ge2O at the PBE level of DFT.

Computed properties:
Total moment, μB per formula unit: 0.00
Formation energy without anion corrections, meV/atom: -753

Structure (POSCAR):
```
Ac6Ge2O
1.0
-5.3335 4.1446 -2.4215
0.2058 -3.4190 -6.3052
-8.6002 -8.5291 4.3442
Ac Ge O
12 4 2
Cartesian
-11.5492 -4.5973 0.5039
-2.1787 -3.2061 -4.8864
-7.1426 -5.3253 0.1836
-4.5607 -2.7647 -1.1206
-6.5853 -2.4782 -4.5661
-5.5309 1.3712 -2.5361
-9.1672 -5.0388 -3.2619
-1.4047 0.1988 -2.3906
-5.3465 -5.9737 -3.2551
-8.1970 -9.1747 -1.8464
-8.3814 -1.8298 -1.1273
-3.7230 0.5268 -6.3361
-9.7275 -6.7416 -0.7448
-4.0004 -1.0618 -3.6377
-2.8636 -2.8399 1.4465
-5.7367 -5.6892 2.8977
-6.8640 -3.9017 -2.1912
0.0000 0.0000 0.0000
```